[1]
{
  "formula": "Tb8PmTm2",
  "functional": "GGA-PBE",
  "state": "optimized geometry",
  "e_above_lowest_polymorph_mev_per_atom": 39,
  "crystal_system": "monoclinic",
  "delta_e_f_mev_per_atom": 154,
  "lattice": [[-3.167, 4.932, -0.636], [-6.378, 1.332, -6.254], [-8.851, -2.307, 2.015]],
  "species": ["Tb", "Tb", "Tb", "Tb", "Tb", "Tb", "Tb", "Tb", "Pm", "Tm", "Tm"],
  "fractional_positions": [[0.811, 0.098, 0.245], [0.811, 0.343, 0.755], [0.292, 0.436, 0.000], [0.500, 0.795, 0.410], [0.500, 0.205, 0.590], [0.708, 0.564, 0.000], [0.189, 0.657, 0.245], [0.189, 0.902, 0.755], [0.500, 0.000, 0.000], [0.000, 0.310, 0.379], [0.000, 0.690, 0.621]]
}

=====

[2]
{
  "formula": "Tb2Pm7Tm2",
  "functional": "GGA-PBE",
  "state": "optimized geometry",
  "e_above_lowest_polymorph_mev_per_atom": 47,
  "crystal_system": "monoclinic",
  "delta_e_f_mev_per_atom": 159,
  "lattice": [[-7.117, -3.946, -0.990], [-2.617, 0.180, 6.442], [-4.494, 5.291, -0.435]],
  "species": ["Tb", "Tb", "Pm", "Pm", "Pm", "Pm", "Pm", "Pm", "Pm", "Tm", "Tm"],
  "fractional_positions": [[0.810, 0.452, 0.452], [0.190, 0.548, 0.548], [0.180, 0.081, 0.476], [0.820, 0.524, 0.919], [0.820, 0.919, 0.524], [0.180, 0.476, 0.081], [0.000, 0.000, 0.000], [0.448, 0.735, 0.735], [0.552, 0.265, 0.265], [0.500, 0.208, 0.792], [0.500, 0.792, 0.208]]
}

=====

[3]
{
  "formula": "TbPm4Y2Tm2",
  "functional": "GGA-PBE",
  "state": "optimized geometry",
  "crystal_system": "monoclinic",
  "delta_e_f_mev_per_atom": 21,
  "lattice": [[-4.230, -2.163, -1.763], [1.525, -2.990, 7.292], [-3.954, 6.905, 1.017]],
  "species": ["Tb", "Pm", "Pm", "Pm", "Pm", "Y", "Y", "Tm", "Tm"],
  "fractional_positions": [[0.000, 0.000, 0.000], [0.778, 0.556, 0.669], [0.222, 0.444, 0.331], [0.555, 0.109, 0.330], [0.445, 0.891, 0.670], [0.888, 0.777, 0.331], [0.112, 0.223, 0.669], [0.333, 0.665, 0.000], [0.667, 0.335, 0.000]]
}

=====

[4]
{
  "formula": "Tb2Pm5YTm",
  "functional": "GGA-PBE",
  "state": "optimized geometry",
  "crystal_system": "orthorhombic",
  "delta_e_f_mev_per_atom": 147,
  "lattice": [[5.649, 0.000, 0.000], [-2.825, 10.174, 0.000], [0.000, 0.000, 10.639]],
  "species": ["Tb", "Tb", "Tb", "Tb", "Pm", "Pm", "Pm", "Pm", "Pm", "Pm", "Pm", "Pm", "Pm", "Pm", "Y", "Y", "Tm", "Tm"],
  "fractional_positions": [[0.885, 0.771, 0.811], [0.113, 0.226, 0.737], [0.115, 0.229, 0.311], [0.887, 0.774, 0.237], [0.384, 0.768, 0.021], [0.722, 0.443, 0.813], [0.482, 0.965, 0.743], [0.298, 0.595, 0.708], [0.984, 0.968, 0.517], [0.616, 0.232, 0.521], [0.278, 0.557, 0.313], [0.518, 0.035, 0.243], [0.702, 0.405, 0.208], [0.016, 0.032, 0.017], [0.592, 0.185, 0.961], [0.408, 0.815, 0.461], [0.801, 0.602, 0.511], [0.199, 0.398, 0.011]]
}

=====

[5]
{
  "formula": "TbPm3Y6Tm2",
  "functional": "GGA-PBE",
  "state": "optimized geometry",
  "crystal_system": "monoclinic",
  "delta_e_f_mev_per_atom": 20,
  "lattice": [[6.197, 0.001, 0.005], [-3.096, 5.368, 0.005], [-1.039, -1.798, 11.649]],
  "species": ["Tb", "Pm", "Pm", "Pm", "Y", "Y", "Y", "Y", "Y", "Y", "Tm", "Tm"],
  "fractional_positions": [[0.000, 0.000, 0.000], [0.167, 0.833, 0.500], [0.833, 0.167, 0.500], [0.500, 0.500, 0.500], [0.918, 0.584, 0.753], [0.749, 0.749, 0.247], [0.082, 0.416, 0.247], [0.584, 0.918, 0.753], [0.251, 0.251, 0.753], [0.416, 0.082, 0.247], [0.333, 0.667, 0.000], [0.667, 0.333, 0.000]]
}

=====

[6]
{
  "formula": "TbPm3Y2Tm6",
  "functional": "GGA-PBE",
  "state": "optimized geometry",
  "crystal_system": "monoclinic",
  "delta_e_f_mev_per_atom": 23,
  "lattice": [[6.154, 0.001, -0.001], [-3.075, 5.331, -0.001], [-1.021, -1.769, 11.526]],
  "species": ["Tb", "Pm", "Pm", "Pm", "Y", "Y", "Tm", "Tm", "Tm", "Tm", "Tm", "Tm"],
  "fractional_positions": [[0.000, 0.000, 0.000], [0.167, 0.833, 0.500], [0.833, 0.167, 0.500], [0.500, 0.500, 0.500], [0.333, 0.667, 0.000], [0.667, 0.333, 0.000], [0.917, 0.585, 0.752], [0.750, 0.750, 0.248], [0.083, 0.415, 0.248], [0.585, 0.917, 0.752], [0.250, 0.250, 0.752], [0.415, 0.083, 0.248]]
}

=====

[7]
{
  "formula": "Tb3PmY2Tm6",
  "functional": "GGA-PBE",
  "state": "optimized geometry",
  "crystal_system": "monoclinic",
  "delta_e_f_mev_per_atom": 23,
  "lattice": [[6.120, 0.001, 0.006], [-3.057, 5.302, 0.006], [-1.028, -1.781, 11.504]],
  "species": ["Tb", "Tb", "Tb", "Pm", "Y", "Y", "Tm", "Tm", "Tm", "Tm", "Tm", "Tm"],
  "fractional_positions": [[0.167, 0.833, 0.500], [0.833, 0.167, 0.500], [0.500, 0.500, 0.500], [0.000, 0.000, 0.000], [0.333, 0.667, 0.000], [0.667, 0.333, 0.000], [0.916, 0.583, 0.749], [0.751, 0.751, 0.251], [0.084, 0.417, 0.251], [0.583, 0.916, 0.749], [0.249, 0.249, 0.749], [0.417, 0.084, 0.251]]
}

=====

[8]
{
  "formula": "Tb4Pm2Y2Tm",
  "functional": "GGA-PBE",
  "state": "optimized geometry",
  "crystal_system": "monoclinic",
  "delta_e_f_mev_per_atom": 0,
  "lattice": [[3.608, 0.000, 0.000], [-1.804, 9.345, -0.498], [0.000, -3.692, 8.846]],
  "species": ["Tb", "Tb", "Tb", "Tb", "Pm", "Pm", "Y", "Y", "Tm"],
  "fractional_positions": [[0.815, 0.630, 0.665], [0.185, 0.370, 0.335], [0.519, 0.038, 0.333], [0.481, 0.962, 0.667], [0.335, 0.669, 0.000], [0.665, 0.331, 0.000], [0.853, 0.706, 0.336], [0.147, 0.294, 0.664], [0.000, 0.000, 0.000]]
}

=====

[9]
{
  "formula": "Tb2Pm2Y2Tm",
  "functional": "GGA-PBE",
  "state": "optimized geometry",
  "crystal_system": "trigonal",
  "delta_e_f_mev_per_atom": 135,
  "lattice": [[-1.822, -0.854, 5.327], [-2.069, -5.082, 1.521], [6.230, -4.388, 4.470]],
  "species": ["Tb", "Tb", "Pm", "Pm", "Y", "Y", "Tm"],
  "fractional_positions": [[0.713, 0.713, 0.860], [0.287, 0.287, 0.140], [0.139, 0.139, 0.582], [0.861, 0.861, 0.418], [0.572, 0.572, 0.284], [0.428, 0.428, 0.716], [0.000, 0.000, 0.000]]
}

=====

[10]
{
  "formula": "TbPm2Y2Tm4",
  "functional": "GGA-PBE",
  "state": "optimized geometry",
  "crystal_system": "monoclinic",
  "delta_e_f_mev_per_atom": -3,
  "lattice": [[3.580, 0.000, 0.000], [-1.790, 9.283, -0.483], [0.000, -3.686, 8.771]],
  "species": ["Tb", "Pm", "Pm", "Y", "Y", "Tm", "Tm", "Tm", "Tm"],
  "fractional_positions": [[0.000, 0.000, 0.000], [0.334, 0.668, 0.998], [0.666, 0.332, 0.002], [0.853, 0.707, 0.338], [0.147, 0.293, 0.662], [0.815, 0.630, 0.663], [0.185, 0.370, 0.337], [0.519, 0.039, 0.334], [0.481, 0.961, 0.666]]
}

=====

[11]
{
  "formula": "TbPm2YTm6",
  "functional": "GGA-PBE",
  "state": "optimized geometry",
  "crystal_system": "monoclinic",
  "delta_e_f_mev_per_atom": 118,
  "lattice": [[0.787, 5.013, -8.139], [-6.003, -5.481, -3.148], [-2.695, 6.802, 4.737]],
  "species": ["Tb", "Tb", "Pm", "Pm", "Pm", "Pm", "Y", "Y", "Tm", "Tm", "Tm", "Tm", "Tm", "Tm", "Tm", "Tm", "Tm", "Tm", "Tm", "Tm"],
  "fractional_positions": [[0.250, 0.407, 0.593], [0.750, 0.593, 0.407], [0.457, 0.807, 0.700], [0.043, 0.300, 0.193], [0.543, 0.193, 0.300], [0.957, 0.700, 0.807], [0.250, 0.981, 0.019], [0.750, 0.019, 0.981], [0.057, 0.127, 0.745], [0.443, 0.255, 0.873], [0.943, 0.873, 0.255], [0.557, 0.745, 0.127], [0.314, 0.975, 0.424], [0.186, 0.576, 0.025], [0.686, 0.025, 0.576], [0.814, 0.424, 0.975], [0.119, 0.710, 0.498], [0.381, 0.502, 0.290], [0.881, 0.290, 0.502], [0.619, 0.498, 0.710]]
}

=====

[12]
{
  "formula": "Tb2Pm3Y6Tm",
  "functional": "GGA-PBE",
  "state": "optimized geometry",
  "crystal_system": "monoclinic",
  "delta_e_f_mev_per_atom": 18,
  "lattice": [[6.207, 0.001, 0.004], [-3.101, 5.377, 0.004], [-1.039, -1.799, 11.663]],
  "species": ["Tb", "Tb", "Pm", "Pm", "Pm", "Y", "Y", "Y", "Y", "Y", "Y", "Tm"],
  "fractional_positions": [[0.333, 0.667, 0.000], [0.667, 0.333, 0.000], [0.167, 0.833, 0.500], [0.833, 0.167, 0.500], [0.500, 0.500, 0.500], [0.918, 0.585, 0.753], [0.749, 0.749, 0.247], [0.082, 0.415, 0.247], [0.585, 0.918, 0.753], [0.251, 0.251, 0.753], [0.415, 0.082, 0.247], [0.000, 0.000, 0.000]]
}